Record 1
Density functional theory data (GGA-PBE) for a relaxed structure of Ce3Ho2In4.

Values from the calculation:
Total energy = -40.9 eV for the cell shown
Size of the total moment = 0.35 μB/atom
Formation energy = -0.33 eV/atom

```
9
Lattice="5.317 0.000 0.000 2.658 4.564 0.578 0.000 -1.286 10.127" Properties=species:S:1:pos:R:3 pbc="T T T"
In 5.316 1.893 9.436
In 2.659 1.384 1.270
In 5.316 -0.845 6.675
In 2.658 4.122 4.031
Ho 5.317 2.757 2.622
Ho 2.658 0.520 8.083
Ce 5.315 2.321 6.107
Ce 2.660 0.956 4.598
Ce 0.000 0.000 0.000
```

Record 2
Density functional theory data (GGA-PBE) for a relaxed structure of CeHo14In.

Values from the calculation:
Total energy = -73.0 eV for the cell shown
Size of the total moment = 0.03 μB/atom
Formation energy = -0.01 eV/atom

```
16
Lattice="6.924 0.929 0.000 -0.929 6.924 0.000 0.000 0.000 9.931" Properties=species:S:1:pos:R:3 pbc="T T T"
Ho 2.480 1.214 4.966
Ho 5.943 1.678 4.966
Ho 3.522 6.649 7.472
Ho 3.991 3.168 2.460
Ho 5.477 5.140 0.000
Ho 3.991 3.168 7.471
Ho 2.480 1.214 0.000
Ho 0.509 2.702 2.459
Ho 3.522 6.649 2.459
Ho 2.016 4.676 4.966
Ho 5.478 5.140 4.966
Ho 0.041 6.184 2.459
Ho 0.041 6.184 7.472
Ho 0.509 2.702 7.472
In 2.016 4.675 0.000
Ce 5.942 1.678 0.000
```

Record 3
Density functional theory data (GGA-PBE) for a relaxed structure of CeHoIn.

Values from the calculation:
Total energy = -28.2 eV for the cell shown
Offset from the most stable computed form = 0 meV per atom
Size of the total moment = 0.14 μB/atom
Formation energy = -0.28 eV/atom

```
6
Lattice="-0.532 -2.856 1.871 3.472 -2.628 -3.024 6.792 3.782 4.511" Properties=species:S:1:pos:R:3 pbc="T T T"
Ce 4.027 -0.849 3.038
Ce 5.705 -0.852 0.320
In 2.198 -0.177 0.354
In 7.534 -1.524 3.004
Ho 6.553 1.394 3.989
Ho 3.179 -3.095 -0.631
```

Record 4
Density functional theory data (GGA-PBE) for a relaxed structure of CeHoInIr.

Values from the calculation:
Total energy = -23.9 eV for the cell shown
Size of the total moment = 0.11 μB/atom
Formation energy = -0.44 eV/atom

```
4
Lattice="5.124 0.000 0.000 2.562 4.437 0.000 2.562 1.479 4.183" Properties=species:S:1:pos:R:3 pbc="T T T"
Ce 2.562 1.479 1.046
Ir 5.124 2.958 2.092
Ho 7.685 4.437 3.138
In 0.000 0.000 0.000
```

Record 5
Density functional theory data (GGA-PBE) for a relaxed structure of LaCeHoIn.

Values from the calculation:
Total energy = -18.5 eV for the cell shown
Size of the total moment = 0.04 μB/atom
Formation energy = -0.08 eV/atom

```
4
Lattice="-3.440 -1.353 -4.066 0.770 -4.655 -2.816 -3.484 -4.202 0.632" Properties=species:S:1:pos:R:3 pbc="T T T"
Ho 0.000 0.000 0.000
Ce -1.538 -2.553 -1.563
In -4.615 -7.658 -4.688
La -3.077 -5.105 -3.125
```

Record 6
Density functional theory data (GGA-PBE) for a relaxed structure of Li2CeHo2In2.

Values from the calculation:
Total energy = -25.6 eV for the cell shown
Size of the total moment = 0.19 μB/atom
Formation energy = -0.18 eV/atom

```
7
Lattice="-2.574 2.754 3.166 1.361 0.240 4.725 4.652 7.796 0.828" Properties=species:S:1:pos:R:3 pbc="T T T"
In 2.739 8.308 6.482
In 0.700 2.483 2.237
Ho 2.710 5.185 1.520
Ho 0.729 5.606 7.199
Ce 0.000 0.000 0.000
Li 0.238 3.404 4.887
Li 3.201 7.387 3.831
```

formation energy of number 3 (CeHoIn)? -0.28 eV/atom